{"formula": "InGa2RhCl", "functional": "PBE", "state": "optimized geometry", "cell": [[4.8038, 0.0000, 0.0000], [0.0000, 4.8038, 0.0000], [0.0000, 0.0000, 5.2427]], "species": ["Cl", "Rh", "Ga", "Ga", "In"], "frac_coords": [[0.5000, 0.5000, 0.5000], [0.0000, 0.0000, 0.0000], [0.0000, 0.5000, 0.0000], [0.5000, 0.0000, 0.0000], [0.0000, 0.0000, 0.5000]], "total_magnetization_mub_per_atom": 0.000, "raw_formation_energy_ev_per_fu": -2.66, "sg": "P4/mmm"}

=====

{"formula": "Sm6Al2Ru", "functional": "PBE", "state": "optimized geometry", "cell": [[5.1336, 0.0000, -0.1984], [0.0000, 7.1730, 0.0000], [-2.2816, -3.5865, 7.5679]], "species": ["Sm", "Sm", "Sm", "Sm", "Sm", "Sm", "Al", "Al", "Ru"], "frac_coords": [[0.1569, 0.4014, 0.3132], [0.8431, 0.0882, 0.6868], [0.8431, 0.5986, 0.6868], [0.5000, 0.2367, 0.0000], [0.1569, 0.9118, 0.3132], [0.5000, 0.7633, 0.0000], [0.6682, 0.6679, 0.3358], [0.3318, 0.3321, 0.6642], [0.0000, 0.0000, 0.0000]], "total_magnetization_mub_per_atom": 0.000, "formation_enthalpy_0k_ev_per_atom": -0.067, "sg": "Immm"}

=====

{"formula": "Ca2RuN2", "functional": "PBE", "state": "optimized geometry", "cell": [[5.0400, 0.0000, 0.0000], [0.0000, 6.4163, 0.0000], [0.0000, 0.0000, 9.7449]], "species": ["Ca", "Ca", "Ca", "Ca", "Ca", "Ca", "Ca", "Ca", "Ru", "Ru", "Ru", "Ru", "N", "N", "N", "N", "N", "N", "N", "N"], "frac_coords": [[0.7500, 0.6729, 0.5573], [0.2500, 0.8271, 0.0573], [0.2500, 0.3271, 0.4427], [0.7500, 0.1729, 0.9427], [0.7500, 0.0439, 0.2836], [0.2500, 0.4561, 0.7836], [0.2500, 0.9561, 0.7164], [0.7500, 0.5439, 0.2164], [0.7500, 0.2151, 0.6349], [0.2500, 0.2849, 0.1349], [0.2500, 0.7849, 0.3651], [0.7500, 0.7151, 0.8651], [0.7500, 0.4530, 0.7604], [0.2500, 0.0470, 0.2604], [0.2500, 0.5470, 0.2396], [0.7500, 0.9530, 0.7396], [0.7500, 0.8236, 0.0504], [0.2500, 0.6764, 0.5504], [0.2500, 0.1764, 0.9496], [0.7500, 0.3236, 0.4496]], "total_magnetization_mub_per_atom": 0.172, "raw_formation_energy_ev_per_fu": -2.75, "sg": "Pnma"}